Computed, not measured: crystalline Ca3V3Cu2O12 at its relaxed geometry at the GGA+U level of DFT.

Results
The calculation puts the final energy at -6.8949 eV/atom.

```
data_Ca3V3Cu2O12
_cell_length_a 10.8874
_cell_length_b 10.8874
_cell_length_c 10.8874
_cell_angle_alpha 109.47
_cell_angle_beta 109.47
_cell_angle_gamma 109.47
_space_group_name_H-M_alt 'P 1'
_space_group_IT_number 1
_space_group_name_Hall 'P 1'
loop_
_atom_site_label
_atom_site_fract_x
_atom_site_fract_y
_atom_site_fract_z
Ca1 0.1250 0.2500 0.3750
Ca2 0.1250 0.3750 0.7500
Ca3 0.2500 0.3750 0.1250
Ca4 0.2500 0.8750 0.6250
Ca5 0.3750 0.1250 0.2500
Ca6 0.3750 0.7500 0.1250
Ca7 0.6250 0.2500 0.8750
Ca8 0.6250 0.8750 0.7500
Ca9 0.7500 0.1250 0.3750
Ca10 0.7500 0.6250 0.8750
Ca11 0.8750 0.6250 0.2500
Ca12 0.8750 0.7500 0.6250
V1 0.1250 0.7500 0.8750
V2 0.1250 0.8750 0.2500
V3 0.2500 0.1250 0.8750
V4 0.2500 0.6250 0.3750
V5 0.3750 0.2500 0.6250
V6 0.3750 0.6250 0.7500
V7 0.6250 0.3750 0.2500
V8 0.6250 0.7500 0.3750
V9 0.7500 0.3750 0.6250
V10 0.7500 0.8750 0.1250
V11 0.8750 0.1250 0.7500
V12 0.8750 0.2500 0.1250
Cu1 0.0000 0.0000 0.0000
Cu2 0.0000 0.0000 0.5000
Cu3 0.0000 0.5000 0.0000
Cu4 0.0000 0.5000 0.5000
Cu5 0.5000 0.0000 0.0000
Cu6 0.5000 0.0000 0.5000
Cu7 0.5000 0.5000 0.0000
Cu8 0.5000 0.5000 0.5000
O1 0.0185 0.2118 0.1200
O2 0.0185 0.3066 0.8985
O3 0.0918 0.7118 0.6934
O4 0.0918 0.8800 0.3985
O5 0.1015 0.6200 0.4082
O6 0.1015 0.9815 0.6934
O7 0.1200 0.0185 0.2118
O8 0.1200 0.6015 0.9082
O9 0.1934 0.2118 0.5918
O10 0.1934 0.4815 0.6015
O11 0.2118 0.1200 0.0185
O12 0.2118 0.5918 0.1934
O13 0.2882 0.3066 0.9082
O14 0.2882 0.4815 0.3800
O15 0.3066 0.8985 0.0185
O16 0.3066 0.9082 0.2882
O17 0.3800 0.2882 0.4815
O18 0.3800 0.5918 0.8985
O19 0.3985 0.0918 0.8800
O20 0.3985 0.8066 0.5185
O21 0.4082 0.1015 0.6200
O22 0.4082 0.8066 0.7882
O23 0.4815 0.3800 0.2882
O24 0.4815 0.6015 0.1934
O25 0.5185 0.3985 0.8066
O26 0.5185 0.6200 0.7118
O27 0.5918 0.1934 0.2118
O28 0.5918 0.8985 0.3800
O29 0.6015 0.1934 0.4815
O30 0.6015 0.9082 0.1200
O31 0.6200 0.4082 0.1015
O32 0.6200 0.7118 0.5185
O33 0.6934 0.0918 0.7118
O34 0.6934 0.1015 0.9815
O35 0.7118 0.5185 0.6200
O36 0.7118 0.6934 0.0918
O37 0.7882 0.4082 0.8066
O38 0.7882 0.8800 0.9815
O39 0.8066 0.5185 0.3985
O40 0.8066 0.7882 0.4082
O41 0.8800 0.3985 0.0918
O42 0.8800 0.9815 0.7882
O43 0.8985 0.0185 0.3066
O44 0.8985 0.3800 0.5918
O45 0.9082 0.1200 0.6015
O46 0.9082 0.2882 0.3066
O47 0.9815 0.6934 0.1015
O48 0.9815 0.7882 0.8800
```